This record from Alexandria describes a relaxed Rb2HgMoI6 crystal. The functional is GGA-PBE.

Cell and atoms, written as POSCAR:
```
Rb2HgMoI6
1.0
-4.2620 4.2620 6.0231
4.2620 -4.2620 6.0231
4.2620 4.2620 -6.0231
Rb Hg Mo I
2 1 1 6
direct
0.2500 0.7500 0.5000 Rb
0.7500 0.2500 0.5000 Rb
0.0000 0.0000 0.0000 Hg
0.5000 0.5000 0.0000 Mo
0.2662 0.2662 0.0000 I
0.2663 0.2663 0.5327 I
0.2663 0.7337 0.0000 I
0.7337 0.2663 0.0000 I
0.7338 0.7338 0.0000 I
0.7337 0.7337 0.4673 I
```

Calculated values
The magnetization is 0.31 μB per atom. As for the energy relative to the elements, uncorrected: -0.625 eV per atom.

***

This record from Alexandria describes a relaxed Cu3Sb crystal. The functional is GGA-PBE.

Cell and atoms, written as POSCAR:
```
Cu3Sb
1.0
7.3696 0.0000 0.0000
0.0000 7.1829 0.0000
0.0000 0.0000 4.7439
Cu Sb
12 4
direct
0.0767 0.2500 0.0876 Cu
0.2300 0.5691 0.9530 Cu
0.2300 0.9309 0.9530 Cu
0.2700 0.0691 0.4530 Cu
0.2700 0.4309 0.4530 Cu
0.4233 0.7500 0.5876 Cu
0.5767 0.2500 0.4124 Cu
0.7300 0.5691 0.5470 Cu
0.7300 0.9309 0.5470 Cu
0.7700 0.0691 0.0470 Cu
0.7700 0.4309 0.0470 Cu
0.9233 0.7500 0.9124 Cu
0.0831 0.7500 0.4179 Sb
0.4169 0.2500 0.9179 Sb
0.5831 0.7500 0.0821 Sb
0.9169 0.2500 0.5821 Sb
```

Calculated values
The magnetization is 0.00 μB per atom. As for the energy relative to the elements, uncorrected: 0.097 eV per atom.

***

This record from Alexandria describes a relaxed Y2PRh crystal. The functional is GGA-PBE.

Cell and atoms, written as POSCAR:
```
Y2PRh
1.0
4.0183 0.0000 0.0000
0.0000 4.0183 0.0000
0.0000 0.0000 5.7165
Y P Rh
2 1 1
direct
0.0000 0.0000 0.0000 Y
0.5000 0.5000 0.5000 Y
0.0000 0.0000 0.5000 P
0.5000 0.5000 0.0000 Rh
```

Calculated values
The magnetization is 0.00 μB per atom. The value obtained for the formation energy is -0.983 eV per atom.

***

This record from Alexandria describes a relaxed Li7Cd4Pb crystal. The functional is GGA-PBE.

Cell and atoms, written as POSCAR:
```
Li7Cd4Pb
1.0
6.8300 -2.5456 0.0000
6.8300 2.5456 0.0000
-3.9781 0.0000 7.0489
Li Cd Pb
7 4 1
direct
0.0000 0.0000 0.0000 Li
0.2690 0.2690 0.7429 Li
0.3034 0.3034 0.1265 Li
0.4189 0.4189 0.5688 Li
0.5811 0.5811 0.4312 Li
0.6966 0.6966 0.8735 Li
0.7310 0.7310 0.2571 Li
0.0639 0.0639 0.7139 Cd
0.1787 0.1787 0.3615 Cd
0.8213 0.8213 0.6385 Cd
0.9361 0.9361 0.2861 Cd
0.5000 0.5000 0.0000 Pb
```

Calculated values
The magnetization is 0.00 μB per atom. The value obtained for the formation energy is -0.136 eV per atom. As for the excess energy over the best structure of this formula in the dataset: 90 meV per atom.

***

This record from Alexandria describes a relaxed Ag2HgCl5 crystal. The functional is GGA-PBE.

Cell and atoms, written as POSCAR:
```
Ag2HgCl5
1.0
5.8550 -4.9293 0.0000
5.8550 4.9293 0.0000
-3.1243 0.0000 8.4189
Ag Hg Cl
4 2 10
direct
0.0000 0.0000 0.0000 Ag
0.0000 0.0000 0.5000 Ag
0.0000 0.5000 0.0000 Ag
0.5000 0.0000 0.5000 Ag
0.4460 0.5540 0.7500 Hg
0.5540 0.4460 0.2500 Hg
0.0718 0.6909 0.8487 Cl
0.1120 0.8880 0.2500 Cl
0.2958 0.3743 0.5129 Cl
0.3091 0.9282 0.6513 Cl
0.3743 0.2958 0.0129 Cl
0.6257 0.7042 0.9871 Cl
0.6909 0.0718 0.3487 Cl
0.7042 0.6257 0.4871 Cl
0.8880 0.1120 0.7500 Cl
0.9282 0.3091 0.1513 Cl
```

Calculated values
The magnetization is 0.00 μB per atom. As for the energy relative to the elements, uncorrected: -0.448 eV per atom. As for the excess energy over the best structure of this formula in the dataset: 0 meV per atom.

***

This record from Alexandria describes a relaxed TaSeN2F crystal. The functional is GGA-PBE.

Cell and atoms, written as POSCAR:
```
TaSeN2F
1.0
3.9564 0.0000 0.0000
0.0000 3.9564 0.0000
0.0000 0.0000 5.3321
Ta Se N F
1 1 2 1
direct
0.0000 0.0000 0.0000 Ta
0.0000 0.0000 0.5000 Se
0.0000 0.5000 0.0000 N
0.5000 0.0000 0.0000 N
0.5000 0.5000 0.5000 F
```

Calculated values
The magnetization is 0.00 μB per atom. As for the energy relative to the elements, uncorrected: 0.236 eV per atom. As for the excess energy over the best structure of this formula in the dataset: 426 meV per atom.

***

This record from Alexandria describes a relaxed Tl3Ag2 crystal. The functional is GGA-PBE.

Cell and atoms, written as POSCAR:
```
Tl3Ag2
1.0
3.3542 1.9366 7.0819
-3.3542 1.9366 7.0819
0.0000 -3.8731 7.0819
Tl Ag
6 4
direct
0.1502 0.7500 0.3498 Tl
0.2500 0.6502 0.8498 Tl
0.3498 0.1502 0.7500 Tl
0.6502 0.8498 0.2500 Tl
0.7500 0.3498 0.1502 Tl
0.8498 0.2500 0.6502 Tl
0.1839 0.1839 0.1839 Ag
0.3161 0.3161 0.3161 Ag
0.6839 0.6839 0.6839 Ag
0.8161 0.8161 0.8161 Ag
```

Calculated values
The magnetization is 0.00 μB per atom. The value obtained for the formation energy is 0.161 eV per atom. As for the excess energy over the best structure of this formula in the dataset: 50 meV per atom.

***

This record from Alexandria describes a relaxed Re2SnRh crystal. The functional is GGA-PBE.

Cell and atoms, written as POSCAR:
```
Re2SnRh
1.0
-2.9780 2.9780 5.5060
2.9780 -2.9780 5.5060
2.9780 2.9780 -5.5060
Re Sn Rh
4 2 2
direct
0.0859 0.6250 0.9609 Re
0.3750 0.3359 0.4609 Re
0.6641 0.1250 0.0391 Re
0.8750 0.9141 0.5391 Re
0.2500 0.7500 0.5000 Sn
0.5000 0.5000 0.0000 Sn
0.0000 0.0000 0.0000 Rh
0.7500 0.2500 0.5000 Rh
```

Calculated values
The magnetization is 0.00 μB per atom. The value obtained for the formation energy is 1.560 eV per atom.

***

This record from Alexandria describes a relaxed YReF3 crystal. The functional is GGA-PBE.

Cell and atoms, written as POSCAR:
```
YReF3
1.0
4.2953 0.0000 0.0000
0.0000 4.2953 0.0000
0.0000 0.0000 4.2953
Y Re F
1 1 3
direct
0.0000 0.0000 0.0000 Y
0.5000 0.5000 0.5000 Re
0.0000 0.5000 0.5000 F
0.5000 0.0000 0.5000 F
0.5000 0.5000 0.0000 F
```

Calculated values
The magnetization is 0.00 μB per atom. As for the energy relative to the elements, uncorrected: -0.768 eV per atom. As for the excess energy over the best structure of this formula in the dataset: 845 meV per atom.

***

This record from Alexandria describes a relaxed SnBiP crystal. The functional is GGA-PBE.

Cell and atoms, written as POSCAR:
```
SnBiP
1.0
8.8679 -2.0675 0.0000
8.8679 2.0675 0.0000
-0.0186 0.0000 4.8527
Sn Bi P
2 2 2
direct
0.0715 0.0715 0.3525 Sn
0.9285 0.9285 0.6475 Sn
0.2125 0.2125 0.6840 Bi
0.7875 0.7875 0.3160 Bi
0.4375 0.4375 0.9803 P
0.5625 0.5625 0.0197 P
```

Calculated values
The magnetization is 0.00 μB per atom. The value obtained for the formation energy is 0.051 eV per atom. As for the excess energy over the best structure of this formula in the dataset: 2 meV per atom.

***

This record from Alexandria describes a relaxed Re3AsCl crystal. The functional is GGA-PBE.

Cell and atoms, written as POSCAR:
```
Re3AsCl
1.0
4.4014 0.0000 0.0000
0.0000 4.4014 0.0000
0.0000 0.0000 4.4014
Re As Cl
3 1 1
direct
0.0000 0.0000 0.5000 Re
0.0000 0.5000 0.0000 Re
0.5000 0.0000 0.0000 Re
0.5000 0.5000 0.5000 As
0.0000 0.0000 0.0000 Cl
```

Calculated values
The magnetization is 0.00 μB per atom. As for the energy relative to the elements, uncorrected: 1.938 eV per atom. As for the excess energy over the best structure of this formula in the dataset: 0 meV per atom.

***

This record from Alexandria describes a relaxed NiOs2AuCl crystal. The functional is GGA-PBE.

Cell and atoms, written as POSCAR:
```
NiOs2AuCl
1.0
5.0513 0.0000 0.0000
0.0000 5.0513 0.0000
0.0000 0.0000 4.7580
Ni Os Au Cl
1 2 1 1
direct
0.0000 0.0000 0.0000 Ni
0.0000 0.5000 0.5000 Os
0.5000 0.0000 0.5000 Os
0.5000 0.5000 0.5000 Au
0.5000 0.5000 0.0000 Cl
```

Calculated values
The magnetization is 1.31 μB per atom. As for the energy relative to the elements, uncorrected: 2.641 eV per atom. As for the excess energy over the best structure of this formula in the dataset: 261 meV per atom.

***

This record from Alexandria describes a relaxed Ce3YBi4 crystal. The functional is GGA-PBE.

Cell and atoms, written as POSCAR:
```
Ce3YBi4
1.0
6.4696 0.0000 0.0000
0.0000 6.4696 0.0000
0.0000 0.0000 6.4696
Ce Y Bi
3 1 4
direct
0.0000 0.0000 0.5000 Ce
0.0000 0.5000 0.0000 Ce
0.5000 0.0000 0.0000 Ce
0.5000 0.5000 0.5000 Y
0.0000 0.0000 0.0000 Bi
0.0000 0.5000 0.5000 Bi
0.5000 0.0000 0.5000 Bi
0.5000 0.5000 0.0000 Bi
```

Calculated values
The magnetization is 0.35 μB per atom. The value obtained for the formation energy is -0.812 eV per atom. As for the excess energy over the best structure of this formula in the dataset: 2 meV per atom.

***

This record from Alexandria describes a relaxed SrErZn2Pt2 crystal. The functional is GGA-PBE.

Cell and atoms, written as POSCAR:
```
SrErZn2Pt2
1.0
4.4398 0.0000 0.0000
-2.2199 3.8450 0.0000
0.0000 0.0000 7.7273
Sr Er Zn Pt
1 1 2 2
direct
0.0000 0.0000 0.0000 Sr
0.0000 0.0000 0.5000 Er
0.3333 0.6667 0.7133 Zn
0.6667 0.3333 0.2867 Zn
0.3333 0.6667 0.2965 Pt
0.6667 0.3333 0.7035 Pt
```

Calculated values
The magnetization is 0.00 μB per atom. The value obtained for the formation energy is -0.829 eV per atom.

***

This record from Alexandria describes a relaxed ScTlS2 crystal. The functional is GGA-PBE.

Cell and atoms, written as POSCAR:
```
ScTlS2
1.0
3.7992 0.0000 0.0000
-1.8996 3.2902 0.0000
0.0000 0.0000 14.9985
Sc Tl S
2 2 4
direct
0.0000 0.0000 0.0000 Sc
0.0000 0.0000 0.5000 Sc
0.3333 0.6667 0.2500 Tl
0.6667 0.3333 0.7500 Tl
0.3333 0.6667 0.5944 S
0.3333 0.6667 0.9056 S
0.6667 0.3333 0.0944 S
0.6667 0.3333 0.4056 S
```

Calculated values
The magnetization is 0.00 μB per atom. As for the energy relative to the elements, uncorrected: -1.371 eV per atom.

***

This record from Alexandria describes a relaxed PmThAl2 crystal. The functional is GGA-PBE.

Cell and atoms, written as POSCAR:
```
PmThAl2
1.0
3.4543 0.0000 0.0000
0.0000 3.4543 0.0000
0.0000 0.0000 8.5105
Pm Th Al
1 1 2
direct
0.0000 0.0000 0.0000 Pm
0.0000 0.0000 0.5000 Th
0.5000 0.5000 0.2475 Al
0.5000 0.5000 0.7525 Al
```

Calculated values
The magnetization is 0.00 μB per atom. The value obtained for the formation energy is -0.292 eV per atom.

***

This record from Alexandria describes a relaxed Ag9Pd2Pt crystal. The functional is GGA-PBE.

Cell and atoms, written as POSCAR:
```
Ag9Pd2Pt
1.0
4.0949 0.0000 0.0000
0.0000 4.0949 0.0000
0.0000 0.0000 12.2933
Ag Pd Pt
9 2 1
direct
0.0000 0.0000 0.0000 Ag
0.0000 0.0000 0.3332 Ag
0.0000 0.0000 0.6668 Ag
0.0000 0.5000 0.1665 Ag
0.0000 0.5000 0.5000 Ag
0.0000 0.5000 0.8335 Ag
0.5000 0.0000 0.1665 Ag
0.5000 0.0000 0.5000 Ag
0.5000 0.0000 0.8335 Ag
0.5000 0.5000 0.3333 Pd
0.5000 0.5000 0.6667 Pd
0.5000 0.5000 0.0000 Pt
```

Calculated values
The magnetization is 0.00 μB per atom. The value obtained for the formation energy is -0.016 eV per atom.

***

This record from Alexandria describes a relaxed MgTl2Au crystal. The functional is GGA-PBE.

Cell and atoms, written as POSCAR:
```
MgTl2Au
1.0
-1.6955 2.6908 5.4567
1.6955 -2.6908 5.4567
1.6955 2.6908 -5.4567
Mg Tl Au
1 2 1
direct
0.0000 0.0000 0.0000 Mg
0.2713 0.7713 0.5000 Tl
0.5596 0.5596 0.0000 Tl
0.8059 0.3059 0.5000 Au
```

Calculated values
The magnetization is 0.00 μB per atom. The value obtained for the formation energy is -0.091 eV per atom. As for the excess energy over the best structure of this formula in the dataset: 77 meV per atom.

***

This record from Alexandria describes a relaxed Ba5NiAu crystal. The functional is GGA-PBE.

Cell and atoms, written as POSCAR:
```
Ba5NiAu
1.0
5.9773 -5.1088 0.0000
5.9773 5.1088 0.0000
-4.1837 0.0000 11.2887
Ba Ni Au
10 2 2
direct
0.0759 0.7223 0.3596 Ba
0.2399 0.7601 0.7500 Ba
0.2776 0.3464 0.9836 Ba
0.2777 0.9241 0.1404 Ba
0.3464 0.2776 0.4836 Ba
0.6536 0.7224 0.5164 Ba
0.7223 0.0759 0.8596 Ba
0.7224 0.6536 0.0164 Ba
0.7601 0.2399 0.2500 Ba
0.9241 0.2777 0.6404 Ba
0.0000 0.5000 0.5000 Ni
0.5000 0.0000 0.0000 Ni
0.4348 0.5652 0.2500 Au
0.5652 0.4348 0.7500 Au
```

Calculated values
The magnetization is 0.00 μB per atom. The value obtained for the formation energy is -0.142 eV per atom.

***

This record from Alexandria describes a relaxed Tc3SnPt crystal. The functional is GGA-PBE.

Cell and atoms, written as POSCAR:
```
Tc3SnPt
1.0
4.7851 0.0000 0.0000
0.0000 4.7851 0.0000
0.0000 0.0000 4.7851
Tc Sn Pt
3 1 1
direct
0.0000 0.0000 0.5000 Tc
0.0000 0.5000 0.0000 Tc
0.5000 0.0000 0.0000 Tc
0.5000 0.5000 0.5000 Sn
0.0000 0.0000 0.0000 Pt
```

Calculated values
The magnetization is 0.63 μB per atom. The value obtained for the formation energy is 1.672 eV per atom. As for the excess energy over the best structure of this formula in the dataset: 0 meV per atom.

***

This record from Alexandria describes a relaxed GaFeBi3 crystal. The functional is GGA-PBE.

Cell and atoms, written as POSCAR:
```
GaFeBi3
1.0
5.3385 0.0000 0.0000
0.0000 5.3385 0.0000
0.0000 0.0000 5.3385
Ga Fe Bi
1 1 3
direct
0.0000 0.0000 0.0000 Ga
0.5000 0.5000 0.5000 Fe
0.0000 0.0000 0.5000 Bi
0.0000 0.5000 0.0000 Bi
0.5000 0.0000 0.0000 Bi
```

Calculated values
The magnetization is 0.64 μB per atom. The value obtained for the formation energy is 1.086 eV per atom. As for the excess energy over the best structure of this formula in the dataset: 580 meV per atom.

***

This record from Alexandria describes a relaxed GeTe4Rh crystal. The functional is GGA-PBE.

Cell and atoms, written as POSCAR:
```
GeTe4Rh
1.0
6.5187 -2.0407 0.0000
6.5187 2.0407 0.0000
-3.7578 0.0000 5.9066
Ge Te Rh
1 4 1
direct
0.0000 0.0000 0.0000 Ge
0.1273 0.1273 0.4752 Te
0.3614 0.3614 0.0475 Te
0.6386 0.6386 0.9525 Te
0.8727 0.8727 0.5248 Te
0.5000 0.5000 0.5000 Rh
```

Calculated values
The magnetization is 0.00 μB per atom. As for the energy relative to the elements, uncorrected: -0.221 eV per atom. As for the excess energy over the best structure of this formula in the dataset: 0 meV per atom.

***

This record from Alexandria describes a relaxed Tl2HgPb crystal. The functional is GGA-PBE.

Cell and atoms, written as POSCAR:
```
Tl2HgPb
1.0
-2.3606 2.3606 5.2826
2.3606 -2.3606 5.2826
2.3606 2.3606 -5.2826
Tl Hg Pb
2 1 1
direct
0.2500 0.7500 0.5000 Tl
0.7500 0.2500 0.5000 Tl
0.0000 0.0000 0.0000 Hg
0.5000 0.5000 0.0000 Pb
```

Calculated values
The magnetization is 0.00 μB per atom. The value obtained for the formation energy is 0.026 eV per atom.

***

This record from Alexandria describes a relaxed NaNi2OsAu crystal. The functional is GGA-PBE.

Cell and atoms, written as POSCAR:
```
NaNi2OsAu
1.0
4.4959 0.0000 0.0000
0.0000 4.4959 0.0000
0.0000 0.0000 5.2489
Na Ni Os Au
1 2 1 1
direct
0.0000 0.0000 0.0000 Na
0.0000 0.5000 0.5000 Ni
0.5000 0.0000 0.5000 Ni
0.0000 0.0000 0.5000 Os
0.5000 0.5000 0.0000 Au
```

Calculated values
The magnetization is 0.00 μB per atom. The value obtained for the formation energy is 1.349 eV per atom.